Record 1
Density functional theory data (PBE-GGA) for La3ErTh after structural relaxation.

Properties
Energy relative to the elements ... 0.140 eV/atom
V ... 703.8 Å³/cell
Energy relative to the lowest polymorph listed for this composition ... 0.000 eV/f.u.

Cell: 5.904 19.500 6.113 Å, 90.00 90.00 90.00°
Space group Ama2 (No. 40)
Symmetry-distinct sites (fractional):
1 La 0.250 0.052 0.000
2 La 0.250 0.241 0.004
3 La 0.250 0.438 0.937
4 Er 0.250 0.155 0.523
5 Th 0.250 0.356 0.414



Record 2
Density functional theory data (PBE-GGA) for Ti3PtC after structural relaxation.

Properties
Energy relative to the elements ... 0.509 eV/atom
V ... 421.9 Å³/cell
Energy relative to the lowest polymorph listed for this composition ... 6.668 eV/f.u.

Cell: 6.941 13.306 4.568 Å, 90.00 90.00 90.00°
Space group Cmcm (No. 63)
Symmetry-distinct sites (fractional):
1 Ti 0.000 0.000 0.000
2 Ti 0.223 0.170 0.250
3 Pt 0.000 0.187 0.750
4 C 0.000 0.346 0.750



Record 3
Density functional theory data (PBE-GGA) for LiP2Cl after structural relaxation.

Properties
V ... 430.2 Å³/cell
Uncorrected formation energy ... 0.036 eV/atom
Energy relative to the lowest polymorph listed for this composition ... 3.037 eV/f.u.

Cell: 6.414 6.414 10.457 Å, 90.00 90.00 90.00°
Space group P4_2/ncm (No. 138, origin choice 2)
Symmetry-distinct sites (fractional):
1 Li 0.250 0.750 0.250
2 P 0.139 0.139 0.217
3 Cl 0.250 0.250 0.464



Record 4
Density functional theory data (PBE-GGA) for LiSmCdPt after structural relaxation.

Properties
Energy relative to the elements ... -0.594 eV/atom
V ... 324.7 Å³/cell

Cell: 6.873 6.873 6.873 Å, 90.00 90.00 90.00°
Space group F-43m (No. 216)
Symmetry-distinct sites (fractional):
1 Li 0.000 0.000 0.000
2 Sm 0.250 0.250 0.250
3 Cd 0.250 0.250 0.750
4 Pt 0.000 0.000 0.500



Record 5
Density functional theory data (PBE-GGA) for PuHfVIr after structural relaxation.

Properties
Energy relative to the elements ... -0.247 eV/atom
V ... 295.9 Å³/cell

Cell: 6.663 6.663 6.663 Å, 90.00 90.00 90.00°
Space group F-43m (No. 216)
Symmetry-distinct sites (fractional):
1 Pu 0.000 0.000 0.000
2 Hf 0.000 0.000 0.500
3 V 0.250 0.250 0.250
4 Ir 0.250 0.250 0.750



Record 6
Density functional theory data (PBE-GGA) for AlIr2AuSe after structural relaxation.

Properties
V ... 97.5 Å³/cell
Uncorrected formation energy ... 1.094 eV/atom

Cell: 4.576 4.576 4.655 Å, 90.00 90.00 90.00°
Space group P4/mmm (No. 123)
Symmetry-distinct sites (fractional):
1 Al 0.000 0.000 0.000
2 Ir 0.000 0.500 0.000
3 Au 0.500 0.500 0.500
4 Se 0.000 0.000 0.500



| no. | calculated total energy (eV/cell) |
| --- | --- |
| 1 | -104.269 |
| 2 | -145.621 |
| 3 | -57.750 |
| 4 | -63.861 |
| 5 | -173.017 |
| 6 | -22.755 |